Computed, not measured: a relaxed structure of SmScTl2Te4 at the PBE-GGA level of DFT.

POSCAR file:
```
SmScTl2Te4
1.0
7.625 0.000 0.000
0.000 4.397 0.000
-2.529 0.000 8.154
Sm Sc Tl Te
1 1 2 4
Direct
0.000 0.000 0.000
0.500 0.500 0.000
0.000 0.500 0.500
0.500 0.000 0.500
0.253 0.500 0.214
0.279 0.000 0.794
0.721 0.000 0.206
0.747 0.500 0.786
```

- Magnetic moment: 0.0 μB per formula unit
- Formation energy without anion corrections: -0.985 eV per atom